Arrangement i

# ScCoSiTc (PBE, optimized geometry)
# Density: 6.54 Mg/m³
# Total magnetization: 12.690 Bohr magnetons per cell
data_ScCoSiTc
_cell_length_a 6.159
_cell_length_b 6.159
_cell_length_c 6.159
_cell_angle_alpha 90.00
_cell_angle_beta 90.00
_cell_angle_gamma 90.00
_space_group_name_H-M_alt 'F -4 3 m'
_space_group_IT_number 216
_space_group_name_Hall 'F -4 2 3'
loop_
_atom_site_label
_atom_site_type_symbol
_atom_site_fract_x
_atom_site_fract_y
_atom_site_fract_z
Sc1 Sc 0.000 0.000 0.000
Co1 Co 0.000 0.000 0.500
Si1 Si 0.250 0.250 0.250
Tc1 Tc 0.250 0.250 0.750

Arrangement ii

# ScCoSiTc (PBE, optimized geometry)
# Density: 6.99 Mg/m³
# Total magnetization: 0.194 Bohr magnetons per cell
data_ScCoSiTc
_cell_length_a 6.024
_cell_length_b 6.024
_cell_length_c 6.024
_cell_angle_alpha 90.00
_cell_angle_beta 90.00
_cell_angle_gamma 90.00
_space_group_name_H-M_alt 'F -4 3 m'
_space_group_IT_number 216
_space_group_name_Hall 'F -4 2 3'
loop_
_atom_site_label
_atom_site_type_symbol
_atom_site_fract_x
_atom_site_fract_y
_atom_site_fract_z
Sc1 Sc 0.000 0.000 0.000
Co1 Co 0.250 0.250 0.750
Si1 Si 0.000 0.000 0.500
Tc1 Tc 0.250 0.250 0.250

Quick one: most stable of them? arrangement ii

Arrangement i

# ScZnCoSn (PBE, optimized geometry)
# Density: 7.24 Mg/m³
# Total magnetization: 0.874 Bohr magnetons per cell
data_ScZnCoSn
_cell_length_a 6.417
_cell_length_b 6.417
_cell_length_c 6.417
_cell_angle_alpha 90.00
_cell_angle_beta 90.00
_cell_angle_gamma 90.00
_space_group_name_H-M_alt 'F -4 3 m'
_space_group_IT_number 216
_space_group_name_Hall 'F -4 2 3'
loop_
_atom_site_label
_atom_site_type_symbol
_atom_site_fract_x
_atom_site_fract_y
_atom_site_fract_z
Sc1 Sc 0.000 0.000 0.000
Zn1 Zn 0.250 0.250 0.250
Co1 Co 0.000 0.000 0.500
Sn1 Sn 0.250 0.250 0.750

Arrangement ii

# ScZnCoSn (PBE, optimized geometry)
# Density: 7.38 Mg/m³
# Total magnetization: 0.110 Bohr magnetons per cell
data_ScZnCoSn
_cell_length_a 6.375
_cell_length_b 6.375
_cell_length_c 6.375
_cell_angle_alpha 90.00
_cell_angle_beta 90.00
_cell_angle_gamma 90.00
_space_group_name_H-M_alt 'F -4 3 m'
_space_group_IT_number 216
_space_group_name_Hall 'F -4 2 3'
loop_
_atom_site_label
_atom_site_type_symbol
_atom_site_fract_x
_atom_site_fract_y
_atom_site_fract_z
Sc1 Sc 0.000 0.000 0.000
Zn1 Zn 0.250 0.250 0.250
Co1 Co 0.250 0.250 0.750
Sn1 Sn 0.000 0.000 0.500

Arrangement iii

# ScZnCoSn (PBE, optimized geometry)
# Density: 7.05 Mg/m³
# Total magnetization: 2.546 Bohr magnetons per cell
data_ScZnCoSn
_cell_length_a 6.473
_cell_length_b 6.473
_cell_length_c 6.473
_cell_angle_alpha 90.00
_cell_angle_beta 90.00
_cell_angle_gamma 90.00
_space_group_name_H-M_alt 'F -4 3 m'
_space_group_IT_number 216
_space_group_name_Hall 'F -4 2 3'
loop_
_atom_site_label
_atom_site_type_symbol
_atom_site_fract_x
_atom_site_fract_y
_atom_site_fract_z
Sc1 Sc 0.000 0.000 0.000
Zn1 Zn 0.000 0.000 0.500
Co1 Co 0.250 0.250 0.750
Sn1 Sn 0.250 0.250 0.250

Quick one: most stable of them? arrangement ii

Arrangement i

# ScTlCoTc (PBE, optimized geometry)
# Density: 9.86 Mg/m³
# Total magnetization: 13.049 Bohr magnetons per cell
data_ScTlCoTc
_cell_length_a 6.493
_cell_length_b 6.493
_cell_length_c 6.493
_cell_angle_alpha 90.00
_cell_angle_beta 90.00
_cell_angle_gamma 90.00
_space_group_name_H-M_alt 'F -4 3 m'
_space_group_IT_number 216
_space_group_name_Hall 'F -4 2 3'
loop_
_atom_site_label
_atom_site_type_symbol
_atom_site_fract_x
_atom_site_fract_y
_atom_site_fract_z
Sc1 Sc 0.000 0.000 0.000
Tl1 Tl 0.250 0.250 0.250
Co1 Co 0.000 0.000 0.500
Tc1 Tc 0.250 0.250 0.750

Arrangement ii

# ScTlCoTc (PBE, optimized geometry)
# Density: 9.99 Mg/m³
# Total magnetization: 5.999 Bohr magnetons per cell
data_ScTlCoTc
_cell_length_a 6.463
_cell_length_b 6.463
_cell_length_c 6.463
_cell_angle_alpha 90.00
_cell_angle_beta 90.00
_cell_angle_gamma 90.00
_space_group_name_H-M_alt 'F -4 3 m'
_space_group_IT_number 216
_space_group_name_Hall 'F -4 2 3'
loop_
_atom_site_label
_atom_site_type_symbol
_atom_site_fract_x
_atom_site_fract_y
_atom_site_fract_z
Sc1 Sc 0.000 0.000 0.000
Tl1 Tl 0.000 0.000 0.500
Co1 Co 0.250 0.250 0.750
Tc1 Tc 0.250 0.250 0.250

Quick one: most stable of them? arrangement ii

Arrangement i

# ScZnCoTc (PBE, optimized geometry)
# Density: 7.63 Mg/m³
# Total magnetization: 3.636 Bohr magnetons per cell
data_ScZnCoTc
_cell_length_a 6.151
_cell_length_b 6.151
_cell_length_c 6.151
_cell_angle_alpha 90.00
_cell_angle_beta 90.00
_cell_angle_gamma 90.00
_space_group_name_H-M_alt 'F -4 3 m'
_space_group_IT_number 216
_space_group_name_Hall 'F -4 2 3'
loop_
_atom_site_label
_atom_site_type_symbol
_atom_site_fract_x
_atom_site_fract_y
_atom_site_fract_z
Sc1 Sc 0.000 0.000 0.000
Zn1 Zn 0.000 0.000 0.500
Co1 Co 0.250 0.250 0.750
Tc1 Tc 0.250 0.250 0.250

Arrangement ii

# ScZnCoTc (PBE, optimized geometry)
# Density: 7.44 Mg/m³
# Total magnetization: 11.434 Bohr magnetons per cell
data_ScZnCoTc
_cell_length_a 6.203
_cell_length_b 6.203
_cell_length_c 6.203
_cell_angle_alpha 90.00
_cell_angle_beta 90.00
_cell_angle_gamma 90.00
_space_group_name_H-M_alt 'F -4 3 m'
_space_group_IT_number 216
_space_group_name_Hall 'F -4 2 3'
loop_
_atom_site_label
_atom_site_type_symbol
_atom_site_fract_x
_atom_site_fract_y
_atom_site_fract_z
Sc1 Sc 0.000 0.000 0.000
Zn1 Zn 0.250 0.250 0.250
Co1 Co 0.000 0.000 0.500
Tc1 Tc 0.250 0.250 0.750

Quick one: most stable of them? arrangement ii

Arrangement i

# ThScCo (PBE, optimized geometry)
# Density: 8.60 Mg/m³
# Total magnetization: 0.049 Bohr magnetons per cell
data_ThScCo
_cell_length_a 6.378
_cell_length_b 6.378
_cell_length_c 6.378
_cell_angle_alpha 90.00
_cell_angle_beta 90.00
_cell_angle_gamma 90.00
_space_group_name_H-M_alt 'F -4 3 m'
_space_group_IT_number 216
_space_group_name_Hall 'F -4 2 3'
loop_
_atom_site_label
_atom_site_type_symbol
_atom_site_fract_x
_atom_site_fract_y
_atom_site_fract_z
Th1 Th 0.000 0.000 0.000
Sc1 Sc 0.250 0.250 0.750
Co1 Co 0.000 0.000 0.500

Arrangement ii

# ThScCo (PBE, optimized geometry)
# Density: 8.39 Mg/m³
# Total magnetization: 0.014 Bohr magnetons per cell
data_ThScCo
_cell_length_a 6.432
_cell_length_b 6.432
_cell_length_c 6.432
_cell_angle_alpha 90.00
_cell_angle_beta 90.00
_cell_angle_gamma 90.00
_space_group_name_H-M_alt 'F -4 3 m'
_space_group_IT_number 216
_space_group_name_Hall 'F -4 2 3'
loop_
_atom_site_label
_atom_site_type_symbol
_atom_site_fract_x
_atom_site_fract_y
_atom_site_fract_z
Th1 Th 0.000 0.000 0.000
Sc1 Sc 0.250 0.250 0.750
Co1 Co 0.250 0.250 0.250

Quick one: most stable of them? arrangement i

Arrangement i

# YSc2Co2 (PBE, optimized geometry)
# Density: 5.09 Mg/m³
# Total magnetization: 0.102 Bohr magnetons per cell
data_YSc2Co2
_cell_length_a 4.405
_cell_length_b 4.405
_cell_length_c 19.965
_cell_angle_alpha 90.00
_cell_angle_beta 90.00
_cell_angle_gamma 90.00
_space_group_name_H-M_alt 'I 4/m m m'
_space_group_IT_number 139
_space_group_name_Hall '-I 4 2'
loop_
_atom_site_label
_atom_site_type_symbol
_atom_site_fract_x
_atom_site_fract_y
_atom_site_fract_z
Y1 Y 0.000 0.000 0.138
Sc1 Sc 0.000 0.000 0.309
Sc2 Sc 0.000 0.500 0.000
Co1 Co 0.000 0.000 0.433
Co2 Co 0.000 0.500 0.250

Arrangement ii

# YSc2Co2 (PBE, optimized geometry)
# Density: 4.94 Mg/m³
# Total magnetization: 1.215 Bohr magnetons per cell
data_YSc2Co2
_cell_length_a 4.551
_cell_length_b 4.551
_cell_length_c 9.637
_cell_angle_alpha 90.00
_cell_angle_beta 90.00
_cell_angle_gamma 90.00
_space_group_name_H-M_alt 'I 4/m m m'
_space_group_IT_number 139
_space_group_name_Hall '-I 4 2'
loop_
_atom_site_label
_atom_site_type_symbol
_atom_site_fract_x
_atom_site_fract_y
_atom_site_fract_z
Y1 Y 0.000 0.000 0.000
Sc1 Sc 0.000 0.000 0.341
Co1 Co 0.000 0.500 0.250

Quick one: most stable of them? arrangement i

Arrangement i

# Co5Se4 (PBE, optimized geometry)
# Density: 7.26 Mg/m³
# Total magnetization: 5.372 Bohr magnetons per cell
data_Co5Se4
_cell_length_a 6.023
_cell_length_b 4.634
_cell_length_c 10.225
_cell_angle_alpha 90.00
_cell_angle_beta 101.84
_cell_angle_gamma 90.00
_space_group_name_H-M_alt 'P 1 21/c 1'
_space_group_IT_number 14
loop_
_space_group_symop_operation_xyz
'x,y,z'
'-x,-y,-z'
'-x,y+1/2,-z+1/2'
'x,-y+1/2,z+1/2'
loop_
_atom_site_label
_atom_site_type_symbol
_atom_site_fract_x
_atom_site_fract_y
_atom_site_fract_z
Co1 Co 0.000 0.000 0.000
Co2 Co 0.229 0.151 0.684
Co3 Co 0.301 0.707 0.008
Se1 Se 0.089 0.132 0.365
Se2 Se 0.489 0.562 0.355

Arrangement ii

# Co5Se4 (PBE, optimized geometry)
# Density: 7.59 Mg/m³
# Total magnetization: 11.865 Bohr magnetons per cell
data_Co5Se4
_cell_length_a 8.610
_cell_length_b 8.610
_cell_length_c 3.605
_cell_angle_alpha 90.00
_cell_angle_beta 90.00
_cell_angle_gamma 90.00
_space_group_name_H-M_alt 'I 4/m'
_space_group_IT_number 87
_space_group_name_Hall '-I 4'
loop_
_atom_site_label
_atom_site_type_symbol
_atom_site_fract_x
_atom_site_fract_y
_atom_site_fract_z
Co1 Co 0.000 0.000 0.000
Co2 Co 0.119 0.815 0.500
Se1 Se 0.061 0.271 0.000

Quick one: most stable of them? arrangement ii

Arrangement i

# CoSe3 (PBE, optimized geometry)
# Density: 5.70 Mg/m³
# Total magnetization: 0.014 Bohr magnetons per cell
data_CoSe3
_cell_length_a 7.7585
_cell_length_b 7.7585
_cell_length_c 3.3043
_cell_angle_alpha 90.00
_cell_angle_beta 90.00
_cell_angle_gamma 120.00
_space_group_name_H-M_alt 'P 63/m m c'
_space_group_IT_number 194
_space_group_name_Hall '-P 6c 2c'
loop_
_atom_site_label
_atom_site_type_symbol
_atom_site_fract_x
_atom_site_fract_y
_atom_site_fract_z
Co1 Co 0.3333 0.6667 0.2500
Se1 Se 0.2082 0.4164 0.7500

Arrangement ii

# CoSe3 (PBE, optimized geometry)
# Density: 6.66 Mg/m³
# Total magnetization: 2.014 Bohr magnetons per cell
data_CoSe3
_cell_length_a 4.193
_cell_length_b 4.193
_cell_length_c 4.193
_cell_angle_alpha 90.00
_cell_angle_beta 90.00
_cell_angle_gamma 90.00
_space_group_name_H-M_alt 'P m -3 m'
_space_group_IT_number 221
_space_group_name_Hall '-P 4 2 3'
loop_
_atom_site_label
_atom_site_type_symbol
_atom_site_fract_x
_atom_site_fract_y
_atom_site_fract_z
Co1 Co 0.000 0.000 0.000
Se1 Se 0.000 0.500 0.500

Quick one: most stable of them? arrangement i